A relaxed CaGaSnPd crystal, computed with GGA-PBE.

CIF file:
```
data_CaGaSnPd
_cell_length_a 6.950
_cell_length_b 6.950
_cell_length_c 6.950
_cell_angle_alpha 90.00
_cell_angle_beta 90.00
_cell_angle_gamma 90.00
_symmetry_space_group_name_H-M 'F -4 3 m'
_symmetry_Int_Tables_number 216
_symmetry_space_group_name_Hall 'F -4 2 3'
loop_
_atom_site_label
_atom_site_type_symbol
_atom_site_fract_x
_atom_site_fract_y
_atom_site_fract_z
Ca1 Ca 0.000 0.000 0.000
Ga1 Ga 0.250 0.250 0.250
Sn1 Sn 0.000 0.000 0.500
Pd1 Pd 0.250 0.250 0.750
```

Values from the calculation:
**Magnetization**: 0.00 Bohr magnetons per cell
**ΔH_f (0 K)**: -0.471 eV per atom
**Mass density**: 6.6 Mg/m³